Entry from Alexandria via LeMat-Bulk: a relaxed Tb2GaCo4Ge3 crystal (PBE-GGA).

abc: 4.028 4.028 9.800
angles: 90.00 90.00 90.00
Fractional positions:
Tb 0.000 0.500 0.250
Tb 0.500 0.000 0.750
Ga 0.000 0.000 0.500
Co 0.000 0.000 0.000
Co 0.000 0.500 0.633
Co 0.500 0.000 0.367
Co 0.500 0.500 0.000
Ge 0.000 0.500 0.871
Ge 0.500 0.000 0.129
Ge 0.500 0.500 0.500

Summary:
Symmetry = P-4m2, No. 115
E_form = -5.52 eV per formula unit